A plane-wave DFT calculation with PBE-GGA was carried out for a geometry-optimized HfNi2Ir2 structure.

Structure (POSCAR):
```
HfNi2Ir2
1.0
7.020 0.000 0.000
0.000 7.020 0.000
0.000 0.000 2.898
Hf Ni Ir
2 4 4
Direct
0.000 0.000 0.000
0.500 0.500 0.000
0.122 0.378 0.000
0.378 0.878 0.000
0.622 0.122 0.000
0.878 0.622 0.000
0.174 0.674 0.500
0.326 0.174 0.500
0.674 0.826 0.500
0.826 0.326 0.500
```

Values from the calculation:
Energy relative to the lowest polymorph listed for this composition   0 meV per atom
Calculated formation energy   -26.9 kJ/mol of atoms
Total magnetic moment   0.000 μB/atom
N(E_F)   11.887 states/eV per cell

---

A plane-wave DFT calculation with PBE-GGA was carried out for a geometry-optimized WAuBr4 structure.

Structure (POSCAR):
```
WAuBr4
1.0
0.000 4.275 4.275
4.275 0.000 4.275
4.275 4.275 0.000
W Au Br
1 1 4
Direct
0.000 0.000 0.000
0.750 0.750 0.750
0.375 0.375 0.375
0.375 0.375 0.875
0.375 0.875 0.375
0.875 0.375 0.375
```

Values from the calculation:
Formation energy (no corrections)   1.61 eV per atom
Total magnetic moment   0.633 μB/atom
N(E_F)   9.047 states/eV per cell

---

A plane-wave DFT calculation with PBE-GGA was carried out for a geometry-optimized AgPb structure.

Structure (POSCAR):
```
AgPb
1.0
11.106 0.000 0.000
0.000 8.421 0.000
0.000 0.000 6.349
Ag Pb
12 12
Direct
0.057 0.045 0.250
0.057 0.455 0.750
0.386 0.579 0.250
0.386 0.921 0.750
0.433 0.250 0.000
0.433 0.250 0.500
0.567 0.750 0.000
0.567 0.750 0.500
0.614 0.079 0.250
0.614 0.421 0.750
0.943 0.545 0.250
0.943 0.955 0.750
0.126 0.750 0.000
0.126 0.750 0.500
0.184 0.146 0.750
0.184 0.354 0.250
0.357 0.548 0.750
0.357 0.952 0.250
0.643 0.048 0.750
0.643 0.452 0.250
0.816 0.646 0.750
0.816 0.854 0.250
0.874 0.250 0.000
0.874 0.250 0.500
```

Values from the calculation:
Calculated formation energy   10.5 kJ/mol of atoms
Total magnetic moment   0.000 μB/atom
N(E_F)   10.806 states/eV per cell

---

A plane-wave DFT calculation with PBE-GGA was carried out for a geometry-optimized Tl2CrGaB structure.

Structure (POSCAR):
```
Tl2CrGaB
1.0
5.206 0.000 0.000
0.000 5.206 0.000
0.000 0.000 4.057
Tl Cr Ga B
2 1 1 1
Direct
0.000 0.500 0.000
0.500 0.000 0.000
0.000 0.000 0.000
0.500 0.500 0.500
0.000 0.000 0.500
```

Values from the calculation:
Calculated formation energy   81.4 kJ/mol of atoms
Total magnetic moment   0.000 μB/atom
N(E_F)   2.791 states/eV per cell

---

A plane-wave DFT calculation with PBE-GGA was carried out for a geometry-optimized NaPaBe2O6 structure.

Structure (POSCAR):
```
NaPaBe2O6
1.0
4.505 -5.053 0.000
4.505 5.053 0.000
-0.479 0.000 5.014
Na Pa Be O
2 2 4 12
Direct
0.068 0.932 0.750
0.932 0.068 0.250
0.288 0.712 0.250
0.712 0.288 0.750
0.233 0.377 0.656
0.377 0.233 0.156
0.623 0.767 0.844
0.767 0.623 0.344
0.013 0.272 0.695
0.218 0.621 0.783
0.272 0.013 0.195
0.286 0.401 0.344
0.379 0.782 0.717
0.401 0.286 0.844
0.599 0.714 0.156
0.621 0.218 0.283
0.714 0.599 0.656
0.728 0.987 0.805
0.782 0.379 0.217
0.987 0.728 0.305
```

Values from the calculation:
Formation energy (no corrections)   -2.48 eV per atom
Total magnetic moment   0.000 μB/atom
N(E_F)   0.000 states/eV per cell

---

A plane-wave DFT calculation with PBE-GGA was carried out for a geometry-optimized Ca2SiSb structure.

Structure (POSCAR):
```
Ca2SiSb
1.0
1.894 1.093 9.002
-1.894 1.093 9.002
0.000 -2.187 9.002
Ca Si Sb
2 1 1
Direct
0.242 0.242 0.242
0.758 0.758 0.758
0.500 0.500 0.500
0.000 0.000 0.000
```

Values from the calculation:
Formation energy (no corrections)   -0.38 eV per atom
Energy relative to the lowest polymorph listed for this composition   133 meV per atom
Total magnetic moment   0.000 μB/atom
N(E_F)   2.849 states/eV per cell

---

A plane-wave DFT calculation with PBE-GGA was carried out for a geometry-optimized CsSi2Hg2 structure.

Structure (POSCAR):
```
CsSi2Hg2
1.0
-2.538 2.538 5.208
2.538 -2.538 5.208
2.538 2.538 -5.208
Cs Si Hg
1 2 2
Direct
0.000 0.000 0.000
0.387 0.387 0.000
0.613 0.613 0.000
0.250 0.750 0.500
0.750 0.250 0.500
```

Values from the calculation:
Formation energy (no corrections)   0.17 eV per atom
Energy relative to the lowest polymorph listed for this composition   0 meV per atom
Total magnetic moment   0.000 μB/atom
N(E_F)   2.476 states/eV per cell

---

A plane-wave DFT calculation with PBE-GGA was carried out for a geometry-optimized PaCr2Ga structure.

Structure (POSCAR):
```
PaCr2Ga
1.0
4.306 0.000 0.000
0.000 4.306 0.000
0.000 0.000 3.475
Pa Cr Ga
1 2 1
Direct
0.000 0.000 0.000
0.000 0.500 0.500
0.500 0.000 0.500
0.500 0.500 0.000
```

Values from the calculation:
Energy relative to the lowest polymorph listed for this composition   0 meV per atom
Calculated formation energy   3.7 kJ/mol of atoms
Total magnetic moment   0.856 μB/atom
N(E_F)   3.576 states/eV per cell

---

A plane-wave DFT calculation with PBE-GGA was carried out for a geometry-optimized Tm3Ni8Ir structure.

Structure (POSCAR):
```
Tm3Ni8Ir
1.0
2.471 1.427 8.080
-2.471 1.427 8.080
0.000 -2.853 8.080
Tm Ni Ir
3 8 1
Direct
0.000 0.000 0.000
0.131 0.131 0.131
0.612 0.612 0.612
0.059 0.059 0.564
0.059 0.564 0.059
0.063 0.562 0.562
0.311 0.311 0.311
0.562 0.063 0.562
0.562 0.562 0.063
0.564 0.059 0.059
0.811 0.811 0.811
0.492 0.492 0.492
```

Values from the calculation:
Calculated formation energy   -38.9 kJ/mol of atoms
Total magnetic moment   0.139 μB/atom
N(E_F)   16.866 states/eV per cell

---

A plane-wave DFT calculation with PBE-GGA was carried out for a geometry-optimized AcYNb2O8 structure.

Structure (POSCAR):
```
AcYNb2O8
1.0
-2.709 2.709 5.823
2.709 -2.709 5.823
2.709 2.709 -5.823
Ac Y Nb O
1 1 2 8
Direct
0.000 0.000 0.000
0.250 0.750 0.500
0.500 0.500 0.000
0.750 0.250 0.500
0.007 0.085 0.428
0.261 0.661 0.101
0.339 0.441 0.600
0.422 0.993 0.079
0.559 0.159 0.899
0.657 0.578 0.572
0.841 0.739 0.400
0.915 0.343 0.921
```

Values from the calculation:
Formation energy (no corrections)   -3.06 eV per atom
Total magnetic moment   0.000 μB/atom
N(E_F)   0.000 states/eV per cell

---

A plane-wave DFT calculation with PBE-GGA was carried out for a geometry-optimized PmBiAu4 structure.

Structure (POSCAR):
```
PmBiAu4
1.0
0.000 4.050 4.050
4.050 0.000 4.050
4.050 4.050 0.000
Pm Bi Au
1 1 4
Direct
0.000 0.000 0.000
0.250 0.250 0.250
0.124 0.625 0.625
0.625 0.124 0.625
0.625 0.625 0.124
0.625 0.625 0.625
```

Values from the calculation:
Calculated formation energy   -42.5 kJ/mol of atoms
Total magnetic moment   0.000 μB/atom
N(E_F)   1.209 states/eV per cell

---

A plane-wave DFT calculation with PBE-GGA was carried out for a geometry-optimized Nb3OsCl structure.

Structure (POSCAR):
```
Nb3OsCl
1.0
4.928 0.000 0.000
0.000 4.928 0.000
0.000 0.000 4.928
Nb Os Cl
3 1 1
Direct
0.000 0.000 0.500
0.000 0.500 0.000
0.500 0.000 0.000
0.000 0.000 0.000
0.500 0.500 0.500
```

Values from the calculation:
Formation energy (no corrections)   1.15 eV per atom
Energy relative to the lowest polymorph listed for this composition   284 meV per atom
Total magnetic moment   0.000 μB/atom
N(E_F)   6.233 states/eV per cell

---

A plane-wave DFT calculation with PBE-GGA was carried out for a geometry-optimized LiGa2Se2 structure.

Structure (POSCAR):
```
LiGa2Se2
1.0
7.704 0.000 0.000
0.000 7.704 0.000
0.000 0.000 3.815
Li Ga Se
2 4 4
Direct
0.000 0.000 0.000
0.500 0.500 0.000
0.115 0.385 0.500
0.385 0.885 0.500
0.615 0.115 0.500
0.885 0.615 0.500
0.237 0.737 0.000
0.263 0.237 0.000
0.737 0.763 0.000
0.763 0.263 0.000
```

Values from the calculation:
Formation energy (no corrections)   -0.46 eV per atom
Energy relative to the lowest polymorph listed for this composition   2 meV per atom
Total magnetic moment   0.000 μB/atom
N(E_F)   3.804 states/eV per cell

---

A plane-wave DFT calculation with PBE-GGA was carried out for a geometry-optimized Na2RuF6 structure.

Structure (POSCAR):
```
Na2RuF6
1.0
5.689 0.000 0.000
0.000 5.801 0.000
-4.759 0.000 8.277
Na Ru F
4 2 12
Direct
0.186 0.073 0.226
0.186 0.427 0.726
0.814 0.573 0.274
0.814 0.927 0.774
0.500 0.000 0.000
0.500 0.500 0.500
0.173 0.180 0.952
0.173 0.320 0.452
0.254 0.744 0.893
0.254 0.756 0.393
0.460 0.101 0.795
0.460 0.399 0.295
0.540 0.601 0.705
0.540 0.899 0.205
0.746 0.244 0.607
0.746 0.256 0.107
0.827 0.680 0.548
0.827 0.820 0.048
```

Values from the calculation:
Formation energy (no corrections)   -2.25 eV per atom
Total magnetic moment   0.222 μB/atom
N(E_F)   14.058 states/eV per cell

---

A plane-wave DFT calculation with PBE-GGA was carried out for a geometry-optimized NiMo5 structure.

Structure (POSCAR):
```
NiMo5
1.0
5.204 0.000 0.000
-2.602 4.507 0.000
0.000 0.000 4.443
Ni Mo
1 5
Direct
0.000 0.000 0.000
0.000 0.500 0.500
0.333 0.667 0.000
0.500 0.000 0.500
0.500 0.500 0.500
0.667 0.333 0.000
```

Values from the calculation:
Energy relative to the lowest polymorph listed for this composition   649 meV per atom
Calculated formation energy   71.7 kJ/mol of atoms
Total magnetic moment   0.003 μB/atom
N(E_F)   7.533 states/eV per cell

---

A plane-wave DFT calculation with PBE-GGA was carried out for a geometry-optimized Dy2BeSi4Ir3 structure.

Structure (POSCAR):
```
Dy2BeSi4Ir3
1.0
4.054 0.000 0.000
0.000 4.054 0.000
0.000 0.000 10.060
Dy Be Si Ir
2 1 4 3
Direct
0.000 0.500 0.249
0.500 0.000 0.751
0.500 0.500 0.000
0.000 0.000 0.500
0.000 0.500 0.867
0.500 0.000 0.133
0.500 0.500 0.500
0.000 0.000 0.000
0.000 0.500 0.630
0.500 0.000 0.370
```

Values from the calculation:
Formation energy (no corrections)   -0.87 eV per atom
Total magnetic moment   0.000 μB/atom
N(E_F)   5.808 states/eV per cell